DFT (PBE-GGA) results for a geometry-optimized Ba3Sr3Li2Tl structure.

Unit cell a=5.5233 b=9.3545 c=9.3545 alpha=120.00 beta=90.00 gamma=90.00
With the nearest neighbours (Å) after each atom.
Positions (direct):
1 Li 0.5000 0.6667 0.3333  3 Sr 3.61, 6 Ba 3.97
2 Li 0.5000 0.3333 0.6667  3 Sr 3.61, 6 Ba 3.97
3 Ba 0.0000 0.0000 0.4018  1 Tl 3.76, 4 Li 3.97
4 Ba 0.0000 0.5982 0.5982  1 Tl 3.76, 4 Li 3.97
5 Ba 0.0000 0.4018 0.0000  1 Tl 3.76, 4 Li 3.97
6 Sr 0.5000 0.2447 0.2447  2 Tl 3.59, 2 Li 3.61, 2 Sr 3.96
7 Sr 0.5000 0.0000 0.7553  2 Tl 3.59, 2 Li 3.61, 2 Sr 3.96
8 Sr 0.5000 0.7553 0.0000  2 Tl 3.59, 2 Li 3.61, 2 Sr 3.96
9 Tl 0.0000 0.0000 0.0000  6 Sr 3.59, 3 Ba 3.76

Space group = P-62m, No. 189
Total magnetic moment = 0.0 μB per cell
Energy relative to the elements = -7 kJ/mol of atoms

---

DFT (PBE-GGA) results for a geometry-optimized BaSr2LiTl4 structure.

Unit cell a=5.6887 b=5.6887 c=10.1202 alpha=73.68 beta=73.68 gamma=60.00
With the nearest neighbours (Å) after each atom.
Positions (direct):
1 Tl 0.3888 0.3888 0.8337  1 Li 3.19, 3 Sr 3.43
2 Tl 0.8740 0.8740 0.3781  4 Sr 3.39-3.45, 3 Li 3.49, 1 Ba 3.62
3 Tl 0.6112 0.6112 0.1663  1 Li 3.19, 3 Sr 3.43
4 Tl 0.1260 0.1260 0.6219  4 Sr 3.39-3.45, 3 Li 3.49, 1 Ba 3.62
5 Li 0.5000 0.5000 0.5000  8 Tl 3.19-3.49
6 Ba 0.0000 0.0000 0.0000  8 Tl 3.62-3.65
7 Sr 0.2440 0.2440 0.2679  7 Tl 3.39-3.45
8 Sr 0.7560 0.7560 0.7321  7 Tl 3.39-3.45

Space group = R-3m, No. 166
Total magnetic moment = 0.0 μB per cell
Energy relative to the elements = -31 kJ/mol of atoms

---

DFT (PBE-GGA) results for a geometry-optimized Ba2SrLi2Tl2 structure.

Unit cell a=5.1489 b=5.1489 c=12.1344 alpha=77.75 beta=77.75 gamma=60.00
With the nearest neighbours (Å) after each atom.
Positions (direct):
1 Tl 0.2774 0.2774 0.1677  3 Li 2.98
2 Tl 0.7226 0.7226 0.8323  3 Li 2.98
3 Li 0.6180 0.6180 0.1459  3 Tl 2.98
4 Li 0.3820 0.3820 0.8541  3 Tl 2.98
5 Ba 0.1142 0.1142 0.6574  3 Tl 3.62, 3 Li 3.77, 1 Sr 4.03
6 Ba 0.8858 0.8858 0.3426  3 Tl 3.62, 3 Li 3.77, 1 Sr 4.03
7 Sr 0.0000 0.0000 0.0000  6 Li 3.43, 6 Tl 3.57

Space group = R-3m, No. 166
Total magnetic moment = 0.8 μB per cell
Energy relative to the elements = -21 kJ/mol of atoms

---

DFT (PBE-GGA) results for a geometry-optimized Ba2SrLiTl structure.

Unit cell a=6.4575 b=6.4575 c=5.2629 alpha=90.00 beta=90.00 gamma=90.00
With the nearest neighbours (Å) after each atom.
Positions (direct):
1 Tl 0.0000 0.0000 0.5000  2 Li 2.63
2 Li 0.0000 0.0000 0.0000  2 Tl 2.63
3 Sr 0.5000 0.5000 0.5000  8 Ba 4.17, 4 Tl 4.57
4 Ba 0.0000 0.5000 0.0000  2 Li 3.23
5 Ba 0.5000 0.0000 0.0000  2 Li 3.23

Energy relative to the lowest polymorph listed for this composition = 0.0000 eV/atom
Space group = P4/mmm, No. 123
Total magnetic moment = 0.0 μB per cell
Energy relative to the elements = -1 kJ/mol of atoms

---

DFT (PBE-GGA) results for a geometry-optimized Ba3Sr2Li2Tl4 structure.

Unit cell a=5.6302 b=5.6302 c=15.3620 alpha=90.00 beta=90.00 gamma=120.00
With the nearest neighbours (Å) after each atom.
Positions (direct):
1 Li 0.3333 0.6667 0.1465  4 Tl 3.04-3.25
2 Li 0.6667 0.3333 0.8535  4 Tl 3.04-3.25
3 Tl 0.3333 0.6667 0.8572  3 Li 3.25
4 Tl 0.6667 0.3333 0.6557  1 Li 3.04
5 Tl 0.6667 0.3333 0.1428  3 Li 3.25
6 Tl 0.3333 0.6667 0.3443  1 Li 3.04
7 Ba 0.0000 0.0000 0.7446  6 Tl 3.53-3.68, 3 Li 3.66, 1 Ba 3.92
8 Ba 0.0000 0.0000 0.2554  6 Tl 3.53-3.68, 3 Li 3.66, 1 Ba 3.92
9 Ba 0.0000 0.0000 0.0000  6 Tl 3.92, 2 Ba 3.92, 6 Li 3.95
10 Sr 0.6667 0.3333 0.4220  4 Tl 3.46-3.59
11 Sr 0.3333 0.6667 0.5780  4 Tl 3.46-3.59

Space group = P-3m1, No. 164
Total magnetic moment = 0.0 μB per cell
Energy relative to the elements = -21 kJ/mol of atoms

---

DFT (PBE-GGA) results for a geometry-optimized Ba3Sr3LiTl2 structure.

Unit cell a=4.6114 b=9.9596 c=9.9596 alpha=120.00 beta=90.00 gamma=90.00
With the nearest neighbours (Å) after each atom.
Positions (direct):
1 Ba 0.5000 0.7298 0.0000  2 Li 3.54, 2 Tl 3.67
2 Ba 0.5000 0.0000 0.7298  2 Li 3.54, 2 Tl 3.67
3 Ba 0.5000 0.2702 0.2702  2 Li 3.54, 2 Tl 3.67
4 Tl 0.5000 0.6667 0.3333  3 Ba 3.67, 6 Sr 3.81
5 Tl 0.5000 0.3333 0.6667  3 Ba 3.67, 6 Sr 3.81
6 Li 0.0000 0.0000 0.0000  6 Ba 3.54
7 Sr 0.0000 0.4047 0.0000  4 Tl 3.81, 6 Ba 3.97-4.24, 1 Li 4.03
8 Sr 0.0000 0.0000 0.4047  4 Tl 3.81, 6 Ba 3.97-4.24, 1 Li 4.03
9 Sr 0.0000 0.5953 0.5953  4 Tl 3.81, 6 Ba 3.97-4.24, 1 Li 4.03

Space group = P-62m, No. 189
Total magnetic moment = 0.0 μB per cell
Energy relative to the elements = -13 kJ/mol of atoms

---

DFT (PBE-GGA) results for a geometry-optimized Ba2SrLi2Tl5 structure.

Unit cell a=4.3998 b=11.8586 c=11.8586 alpha=90.00 beta=90.00 gamma=90.00
With the nearest neighbours (Å) after each atom.
Positions (direct):
1 Tl 0.5000 0.0000 0.5000  4 Li 2.88
2 Tl 0.5000 0.5619 0.7216  2 Li 3.02, 1 Tl 3.38
3 Tl 0.5000 0.5000 0.0000  4 Li 2.88
4 Tl 0.5000 0.7784 0.9381  2 Li 3.02, 1 Tl 3.38
5 Tl 0.5000 0.2216 0.0619  2 Li 3.02, 1 Tl 3.38
6 Tl 0.5000 0.4381 0.2784  2 Li 3.02, 1 Tl 3.38
7 Tl 0.5000 0.0619 0.7784  2 Li 3.02, 1 Tl 3.38
8 Tl 0.5000 0.7216 0.4381  2 Li 3.02, 1 Tl 3.38
9 Tl 0.5000 0.9381 0.2216  2 Li 3.02, 1 Tl 3.38
10 Tl 0.5000 0.2784 0.5619  2 Li 3.02, 1 Tl 3.38
11 Li 0.0000 0.8895 0.3895  6 Tl 2.88-3.02
12 Li 0.0000 0.3895 0.1105  6 Tl 2.88-3.02
13 Li 0.0000 0.6105 0.8895  6 Tl 2.88-3.02
14 Li 0.0000 0.1105 0.6105  6 Tl 2.88-3.02
15 Sr 0.0000 0.0000 0.0000  8 Tl 3.51
16 Sr 0.0000 0.5000 0.5000  8 Tl 3.51
17 Ba 0.0000 0.6820 0.1820  3 Li 3.48-3.57, 10 Tl 3.76-3.81
18 Ba 0.0000 0.8180 0.6820  3 Li 3.48-3.57, 10 Tl 3.76-3.81
19 Ba 0.0000 0.3180 0.8180  3 Li 3.48-3.57, 10 Tl 3.76-3.81
20 Ba 0.0000 0.1820 0.3180  3 Li 3.48-3.57, 10 Tl 3.76-3.81

Space group = P4/mbm, No. 127
Total magnetic moment = 0.0 μB per cell
Energy relative to the elements = -34 kJ/mol of atoms

---

DFT (PBE-GGA) results for a geometry-optimized BaSrLi2Tl2 structure.

Unit cell a=5.2927 b=5.2927 c=7.8870 alpha=90.00 beta=90.00 gamma=120.00
With the nearest neighbours (Å) after each atom.
Positions (direct):
1 Sr 0.0000 0.0000 0.5000  6 Li 3.46, 6 Tl 3.49
2 Tl 0.3333 0.6667 0.2867  4 Li 3.06-3.31
3 Tl 0.6667 0.3333 0.7133  4 Li 3.06-3.31
4 Ba 0.0000 0.0000 0.0000  6 Tl 3.80, 6 Li 3.83, 2 Sr 3.94
5 Li 0.6667 0.3333 0.2934  4 Tl 3.06-3.31
6 Li 0.3333 0.6667 0.7066  4 Tl 3.06-3.31

Space group = P-3m1, No. 164
Total magnetic moment = 0.0 μB per cell
Energy relative to the elements = -25 kJ/mol of atoms

---

DFT (PBE-GGA) results for a geometry-optimized BaSrLiTl structure.

Unit cell a=5.9574 b=5.9574 c=5.9574 alpha=60.00 beta=60.00 gamma=60.00
With the nearest neighbours (Å) after each atom.
Positions (direct):
1 Ba 0.7500 0.7500 0.7500  4 Tl 3.65, 4 Li 3.65
2 Sr 0.2500 0.2500 0.2500  4 Tl 3.65, 4 Li 3.65
3 Li 0.5000 0.5000 0.5000  4 Sr 3.65, 4 Ba 3.65
4 Tl 0.0000 0.0000 0.0000  4 Ba 3.65, 4 Sr 3.65

Space group = F-43m, No. 216
Total magnetic moment = 0.0 μB per cell
Energy relative to the elements = -21 kJ/mol of atoms

---

DFT (PBE-GGA) results for a geometry-optimized BaSr2LiW structure.

Unit cell a=6.1577 b=5.5493 c=6.1577 alpha=90.00 beta=90.00 gamma=90.00
With the nearest neighbours (Å) after each atom.
Positions (direct):
1 Sr 0.5000 0.0000 0.0000  2 W 3.08
2 Sr 0.0000 0.0000 0.5000  2 W 3.08
3 Li 0.0000 0.5000 0.0000  2 W 2.77
4 Ba 0.5000 0.5000 0.5000  8 Sr 4.14, 4 Li 4.35
5 W 0.0000 0.0000 0.0000  2 Li 2.77, 4 Sr 3.08

Space group = P4/mmm, No. 123
Total magnetic moment = 2.2 μB per cell
Energy relative to the elements = 96 kJ/mol of atoms

---

DFT (PBE-GGA) results for a geometry-optimized BaSr2LiZn structure.

Unit cell a=6.3318 b=6.3318 c=5.3586 alpha=90.00 beta=90.00 gamma=90.00
With the nearest neighbours (Å) after each atom.
Positions (direct):
1 Sr 0.0000 0.5000 0.0000  2 Zn 3.17
2 Sr 0.5000 0.0000 0.0000  2 Zn 3.17
3 Ba 0.5000 0.5000 0.5000  8 Sr 4.15, 4 Li 4.48
4 Zn 0.0000 0.0000 0.0000  2 Li 2.68
5 Li 0.0000 0.0000 0.5000  2 Zn 2.68

Energy relative to the lowest polymorph listed for this composition = 0.0000 eV/atom
Space group = P4/mmm, No. 123
Total magnetic moment = 0.0 μB per cell
Energy relative to the elements = 3 kJ/mol of atoms

---

DFT (PBE-GGA) results for a geometry-optimized BaSrLi2Zn structure.

Unit cell a=5.5031 b=5.5031 c=5.9145 alpha=90.00 beta=90.00 gamma=90.00
With the nearest neighbours (Å) after each atom.
Positions (direct):
1 Ba 0.5000 0.5000 0.5000  4 Sr 3.89, 8 Li 4.04
2 Li 0.0000 0.5000 0.0000  2 Zn 2.75
3 Li 0.5000 0.0000 0.0000  2 Zn 2.75
4 Sr 0.0000 0.0000 0.5000  2 Zn 2.96
5 Zn 0.0000 0.0000 0.0000  4 Li 2.75, 2 Sr 2.96

Energy relative to the lowest polymorph listed for this composition = 0.1035 eV/atom
Space group = P4/mmm, No. 123
Total magnetic moment = 0.0 μB per cell
Energy relative to the elements = 8 kJ/mol of atoms

---

DFT (PBE-GGA) results for a geometry-optimized Ba3Sr3Li2Zn structure.

Unit cell a=4.5601 b=10.2604 c=10.2604 alpha=120.00 beta=90.00 gamma=90.00
With the nearest neighbours (Å) after each atom.
Positions (direct):
1 Ba 0.5000 0.2417 0.2417  2 Zn 3.37
2 Ba 0.5000 0.0000 0.7583  2 Zn 3.37
3 Ba 0.5000 0.7583 0.0000  2 Zn 3.37
4 Li 0.5000 0.3333 0.6667  6 Sr 3.86, 3 Ba 3.97
5 Li 0.5000 0.6667 0.3333  6 Sr 3.86, 3 Ba 3.97
6 Zn 0.0000 0.0000 0.0000  6 Ba 3.37
7 Sr 0.0000 0.5954 0.5954  4 Li 3.86, 1 Zn 4.15, 6 Ba 4.28-4.29
8 Sr 0.0000 0.0000 0.4046  4 Li 3.86, 1 Zn 4.15, 6 Ba 4.28-4.29
9 Sr 0.0000 0.4046 0.0000  4 Li 3.86, 1 Zn 4.15, 6 Ba 4.28-4.29

Space group = P-62m, No. 189
Total magnetic moment = 0.0 μB per cell
Energy relative to the elements = 1 kJ/mol of atoms